Crystalline TbSn3Au at its relaxed geometry, computed with PBE.

Computed properties:
total moment = 0.000 μB per formula unit
space-group type = Pbcm, No. 57
calculated density = 9.5 g/cm³
ΔE_f = -0.424 eV per atom

Unit cell a=12.6682 b=6.2667 c=6.2732 alpha=90.00 beta=90.00 gamma=90.00
Last column: nearest neighbours and their distance in Å.
Positions (direct):
Tb (0.1931, 0.0075, 0.2500)  9 Sn 3.14-3.33, 2 Au 3.26
Tb (0.1931, 0.4925, 0.7500)  9 Sn 3.14-3.33, 2 Au 3.26
Tb (0.8069, 0.5075, 0.2500)  9 Sn 3.14-3.33, 2 Au 3.26
Tb (0.8069, 0.9925, 0.7500)  9 Sn 3.14-3.33, 2 Au 3.26
Sn (0.0005, 0.2500, 0.0000)  4 Sn 3.13-3.14, 4 Tb 3.27-3.33
Sn (0.0005, 0.2500, 0.5000)  4 Sn 3.13-3.14, 4 Tb 3.27-3.33
Sn (0.2414, 0.5155, 0.2500)  2 Au 2.92, 4 Tb 3.14-3.24, 1 Sn 3.25
Sn (0.2414, 0.9845, 0.7500)  2 Au 2.92, 4 Tb 3.14-3.24, 1 Sn 3.25
Sn (0.4319, 0.6372, 0.7500)  4 Au 2.89-2.95, 1 Tb 3.16
Sn (0.4319, 0.8628, 0.2500)  4 Au 2.89-2.95, 1 Tb 3.16
Sn (0.5681, 0.1372, 0.7500)  4 Au 2.89-2.95, 1 Tb 3.16
Sn (0.5681, 0.3628, 0.2500)  4 Au 2.89-2.95, 1 Tb 3.16
Sn (0.7586, 0.0155, 0.2500)  2 Au 2.92, 4 Tb 3.14-3.24, 1 Sn 3.25
Sn (0.7586, 0.4845, 0.7500)  2 Au 2.92, 4 Tb 3.14-3.24, 1 Sn 3.25
Sn (0.9995, 0.7500, 0.0000)  4 Sn 3.13-3.14, 4 Tb 3.27-3.33
Sn (0.9995, 0.7500, 0.5000)  4 Sn 3.13-3.14, 4 Tb 3.27-3.33
Au (0.3845, 0.2500, 0.0000)  6 Sn 2.89-2.95, 2 Au 3.14
Au (0.3845, 0.2500, 0.5000)  6 Sn 2.89-2.95, 2 Au 3.14
Au (0.6155, 0.7500, 0.0000)  6 Sn 2.89-2.95, 2 Au 3.14
Au (0.6155, 0.7500, 0.5000)  6 Sn 2.89-2.95, 2 Au 3.14


Crystalline Tb2SnAu at its relaxed geometry, computed with PBE.

Computed properties:
total moment = 0.000 μB per formula unit
space-group type = R-3m, No. 166
calculated density = 9.4 g/cm³
ΔE_f = -0.585 eV per atom

Unit cell a=3.9268 b=3.9268 c=25.1256 alpha=90.00 beta=90.00 gamma=120.00
Last column: nearest neighbours and their distance in Å.
Positions (direct):
Tb (0.0000, 0.0000, 0.2423)  3 Au 2.96, 3 Sn 3.22
Tb (0.0000, 0.0000, 0.7577)  3 Au 2.96, 3 Sn 3.22
Tb (0.3333, 0.6667, 0.4244)  3 Au 2.96, 3 Sn 3.22
Tb (0.3333, 0.6667, 0.9090)  3 Au 2.96, 3 Sn 3.22
Tb (0.6667, 0.3333, 0.0910)  3 Au 2.96, 3 Sn 3.22
Tb (0.6667, 0.3333, 0.5756)  3 Au 2.96, 3 Sn 3.22
Sn (0.0000, 0.0000, 0.0000)  6 Tb 3.22
Sn (0.3333, 0.6667, 0.6667)  6 Tb 3.22
Sn (0.6667, 0.3333, 0.3333)  6 Tb 3.22
Au (0.0000, 0.0000, 0.5000)  6 Tb 2.96
Au (0.3333, 0.6667, 0.1667)  6 Tb 2.96
Au (0.6667, 0.3333, 0.8333)  6 Tb 2.96


Crystalline Tb2SnAu4 at its relaxed geometry, computed with PBE.

Computed properties:
total moment = 0.000 μB per formula unit
space-group type = R-3m, No. 166
calculated density = 12.1 g/cm³
ΔE_f = -0.605 eV per atom

Unit cell a=9.1288 b=9.1288 c=9.1288 alpha=30.01 beta=30.01 gamma=30.01
Last column: nearest neighbours and their distance in Å.
Positions (direct):
Tb (0.2475, 0.2475, 0.2475)  8 Au 2.94-3.28
Tb (0.7525, 0.7525, 0.7525)  8 Au 2.94-3.28
Sn (0.0000, 0.0000, 0.0000)  6 Au 2.92
Au (0.1350, 0.1350, 0.1350)  4 Tb 2.94-3.02, 3 Au 3.19
Au (0.3732, 0.3732, 0.3732)  3 Sn 2.92, 3 Tb 2.98
Au (0.6268, 0.6268, 0.6268)  3 Sn 2.92, 3 Tb 2.98
Au (0.8650, 0.8650, 0.8650)  4 Tb 2.94-3.02, 3 Au 3.19


Crystalline TbSnAu2 at its relaxed geometry, computed with PBE.

Computed properties:
total moment = 0.000 μB per formula unit
space-group type = P4/mmm, No. 123
calculated density = 12.2 g/cm³
ΔE_f = -0.594 eV per atom

Unit cell a=3.7590 b=3.7590 c=6.4563 alpha=90.00 beta=90.00 gamma=90.00
Last column: nearest neighbours and their distance in Å.
Positions (direct):
Tb (0.0000, 0.0000, 0.0000)  8 Au 3.07, 2 Sn 3.23
Sn (0.0000, 0.0000, 0.5000)  8 Au 3.15, 2 Tb 3.23
Au (0.5000, 0.5000, 0.2376)  2 Au 3.07-3.39, 4 Tb 3.07, 4 Sn 3.15
Au (0.5000, 0.5000, 0.7624)  2 Au 3.07-3.39, 4 Tb 3.07, 4 Sn 3.15


Crystalline Tb12SnAu6 at its relaxed geometry, computed with PBE.

Computed properties:
total moment = 0.000 μB per formula unit
space-group type = R-3, No. 148
calculated density = 8.9 g/cm³
ΔE_f = -0.425 eV per atom

Unit cell a=8.6000 b=8.6000 c=8.6000 alpha=100.89 beta=100.89 gamma=100.89
Last column: nearest neighbours and their distance in Å.
Positions (direct):
Tb (0.0711, 0.9229, 0.3311)  2 Au 2.85-2.89, 1 Sn 3.02
Tb (0.0771, 0.6689, 0.9289)  2 Au 2.85-2.89, 1 Sn 3.02
Tb (0.1783, 0.4264, 0.5729)  4 Au 2.94-3.08
Tb (0.3311, 0.0711, 0.9229)  2 Au 2.85-2.89, 1 Sn 3.02
Tb (0.4264, 0.5729, 0.1783)  4 Au 2.94-3.08
Tb (0.4271, 0.8217, 0.5736)  4 Au 2.94-3.08
Tb (0.5729, 0.1783, 0.4264)  4 Au 2.94-3.08
Tb (0.5736, 0.4271, 0.8217)  4 Au 2.94-3.08
Tb (0.6689, 0.9289, 0.0771)  2 Au 2.85-2.89, 1 Sn 3.02
Tb (0.8217, 0.5736, 0.4271)  4 Au 2.94-3.08
Tb (0.9229, 0.3311, 0.0711)  2 Au 2.85-2.89, 1 Sn 3.02
Tb (0.9289, 0.0771, 0.6689)  2 Au 2.85-2.89, 1 Sn 3.02
Sn (0.0000, 0.0000, 0.0000)  6 Tb 3.02
Au (0.1395, 0.6083, 0.3082)  6 Tb 2.85-3.08
Au (0.3082, 0.1395, 0.6083)  6 Tb 2.85-3.08
Au (0.3917, 0.6918, 0.8605)  6 Tb 2.85-3.08
Au (0.6083, 0.3082, 0.1395)  6 Tb 2.85-3.08
Au (0.6918, 0.8605, 0.3917)  6 Tb 2.85-3.08
Au (0.8605, 0.3917, 0.6918)  6 Tb 2.85-3.08


Crystalline TbSnAu4 at its relaxed geometry, computed with PBE.

Computed properties:
total moment = 0.000 μB per formula unit
space-group type = F-43m, No. 216
calculated density = 13.9 g/cm³
ΔE_f = -0.391 eV per atom
polymorph energy (0 for the lowest one) = 95 meV per atom

Unit cell a=5.6421 b=5.6421 c=5.6421 alpha=60.00 beta=60.00 gamma=60.00
Last column: nearest neighbours and their distance in Å.
Positions (direct):
Tb (0.0000, 0.0000, 0.0000)  12 Au 3.31, 4 Sn 3.46
Sn (0.7500, 0.7500, 0.7500)  12 Au 3.31, 4 Tb 3.46
Au (0.3749, 0.3749, 0.3749)  6 Au 2.82
Au (0.3749, 0.3749, 0.8753)  6 Au 2.82
Au (0.3749, 0.8753, 0.3749)  6 Au 2.82
Au (0.8753, 0.3749, 0.3749)  6 Au 2.82


Crystalline Tb7Sn2Au2 at its relaxed geometry, computed with PBE.

Computed properties:
total moment = 0.000 μB per formula unit
space-group type = Cmmm, No. 65
calculated density = 8.7 g/cm³
ΔE_f = -0.389 eV per atom

Unit cell a=7.0137 b=7.0137 c=7.0690 alpha=90.00 beta=90.00 gamma=106.69
Last column: nearest neighbours and their distance in Å.
Positions (direct):
Tb (0.0000, 0.0000, 0.0000)  2 Au 3.22
Tb (0.0000, 0.5000, 0.2635)  2 Au 2.83
Tb (0.0000, 0.5000, 0.7365)  2 Au 2.83
Tb (0.5000, 0.0000, 0.2635)  2 Au 2.83
Tb (0.5000, 0.0000, 0.7365)  2 Au 2.83
Tb (0.5000, 0.5000, 0.2470)  2 Au 2.97, 2 Sn 3.24
Tb (0.5000, 0.5000, 0.7530)  2 Au 2.97, 2 Sn 3.24
Sn (0.1779, 0.1779, 0.5000)  1 Sn 2.98, 6 Tb 3.24-3.33
Sn (0.8221, 0.8221, 0.5000)  1 Sn 2.98, 6 Tb 3.24-3.33
Au (0.2865, 0.7135, 0.0000)  6 Tb 2.83-2.97
Au (0.7135, 0.2865, 0.0000)  6 Tb 2.83-2.97


Crystalline TbSnAu2 at its relaxed geometry, computed with PBE.

Computed properties:
total moment = 0.000 μB per formula unit
space-group type = I4/mmm, No. 139
calculated density = 12.7 g/cm³
ΔE_f = -0.693 eV per atom

Unit cell a=5.0146 b=5.0146 c=6.9855 alpha=90.00 beta=90.00 gamma=90.00
Last column: nearest neighbours and their distance in Å.
Positions (direct):
Tb (0.0000, 0.0000, 0.0000)  8 Au 3.06
Tb (0.5000, 0.5000, 0.5000)  8 Au 3.06
Sn (0.0000, 0.0000, 0.5000)  8 Au 3.06
Sn (0.5000, 0.5000, 0.0000)  8 Au 3.06
Au (0.0000, 0.5000, 0.2500)  4 Tb 3.06, 4 Sn 3.06
Au (0.0000, 0.5000, 0.7500)  4 Tb 3.06, 4 Sn 3.06
Au (0.5000, 0.0000, 0.2500)  4 Tb 3.06, 4 Sn 3.06
Au (0.5000, 0.0000, 0.7500)  4 Tb 3.06, 4 Sn 3.06


Crystalline TbSn2Au at its relaxed geometry, computed with PBE.

Computed properties:
total moment = 0.000 μB per formula unit
space-group type = R-3m, No. 166
calculated density = 8.9 g/cm³
ΔE_f = -0.023 eV per atom

Unit cell a=3.5026 b=3.5026 c=31.1027 alpha=90.00 beta=90.00 gamma=120.00
Last column: nearest neighbours and their distance in Å.
Positions (direct):
Tb (0.0000, 0.0000, 0.0000)  2 Sn 3.12
Tb (0.3333, 0.6667, 0.6667)  2 Sn 3.12
Tb (0.6667, 0.3333, 0.3333)  2 Sn 3.12
Sn (0.0000, 0.0000, 0.1003)  3 Au 2.89, 1 Tb 3.12
Sn (0.0000, 0.0000, 0.8997)  3 Au 2.89, 1 Tb 3.12
Sn (0.3333, 0.6667, 0.5663)  3 Au 2.89, 1 Tb 3.12
Sn (0.3333, 0.6667, 0.7670)  3 Au 2.89, 1 Tb 3.12
Sn (0.6667, 0.3333, 0.2330)  3 Au 2.89, 1 Tb 3.12
Sn (0.6667, 0.3333, 0.4337)  3 Au 2.89, 1 Tb 3.12
Au (0.0000, 0.0000, 0.5000)  6 Sn 2.89
Au (0.3333, 0.6667, 0.1667)  6 Sn 2.89
Au (0.6667, 0.3333, 0.8333)  6 Sn 2.89


Crystalline TbSn2Au at its relaxed geometry, computed with PBE.

Computed properties:
total moment = 0.000 μB per formula unit
space-group type = P4/mmm, No. 123
calculated density = 10.4 g/cm³
ΔE_f = -0.550 eV per atom

Unit cell a=4.6251 b=4.6251 c=4.4141 alpha=90.00 beta=90.00 gamma=90.00
Last column: nearest neighbours and their distance in Å.
Positions (direct):
Tb (0.0000, 0.0000, 0.0000)  8 Sn 3.20, 4 Au 3.27
Sn (0.0000, 0.5000, 0.5000)  4 Tb 3.20, 4 Au 3.20, 4 Sn 3.27
Sn (0.5000, 0.0000, 0.5000)  4 Tb 3.20, 4 Au 3.20, 4 Sn 3.27
Au (0.5000, 0.5000, 0.0000)  8 Sn 3.20, 4 Tb 3.27


Crystalline TbSnAu3 at its relaxed geometry, computed with PBE.

Computed properties:
total moment = 0.000 μB per formula unit
space-group type = P2_1/m, No. 11
calculated density = 11.8 g/cm³
ΔE_f = -0.467 eV per atom

Unit cell a=3.5277 b=7.6083 c=9.2563 alpha=90.00 beta=100.97 gamma=90.00
Last column: nearest neighbours and their distance in Å.
Positions (direct):
Tb (0.0346, 0.2500, 0.0705)  10 Au 3.03-3.08
Tb (0.9654, 0.7500, 0.9295)  10 Au 3.03-3.08
Sn (0.2931, 0.2500, 0.5839)  4 Au 2.78-2.80
Sn (0.7069, 0.7500, 0.4161)  4 Au 2.78-2.80
Au (0.3252, 0.7500, 0.6547)  2 Sn 2.79-2.80, 2 Au 2.90, 2 Tb 3.05-3.06
Au (0.4218, 0.0572, 0.8438)  1 Sn 2.78, 3 Au 2.90-2.97, 4 Tb 3.03-3.08
Au (0.4218, 0.4428, 0.8438)  1 Sn 2.78, 3 Au 2.90-2.97, 4 Tb 3.03-3.08
Au (0.5782, 0.5572, 0.1562)  1 Sn 2.78, 3 Au 2.90-2.97, 4 Tb 3.03-3.08
Au (0.5782, 0.9428, 0.1562)  1 Sn 2.78, 3 Au 2.90-2.97, 4 Tb 3.03-3.08
Au (0.6748, 0.2500, 0.3453)  2 Sn 2.79-2.80, 2 Au 2.90, 2 Tb 3.05-3.06


Crystalline TbSnAu2 at its relaxed geometry, computed with PBE.

Computed properties:
total moment = 0.000 μB per formula unit
space-group type = P4/mmm, No. 123
calculated density = 12.6 g/cm³
ΔE_f = -0.600 eV per atom

Unit cell a=4.6240 b=4.6240 c=4.1499 alpha=90.00 beta=90.00 gamma=90.00
Last column: nearest neighbours and their distance in Å.
Positions (direct):
Tb (0.0000, 0.0000, 0.0000)  8 Au 3.11, 4 Sn 3.27
Sn (0.5000, 0.5000, 0.0000)  8 Au 3.11, 4 Tb 3.27
Au (0.0000, 0.5000, 0.5000)  4 Tb 3.11, 4 Sn 3.11, 4 Au 3.27
Au (0.5000, 0.0000, 0.5000)  4 Tb 3.11, 4 Sn 3.11, 4 Au 3.27


ΔE_f of number 11 (TbSnAu3)?
-0.467 eV per atom